w | Compound: Sb3Te
Source: Alexandria
Functional: GGA-PBE
Structure: optimized geometry

Cell lengths 5.855, 5.855, 5.855 Å; angles 137.98, 104.59, 90.30 degrees
Atoms (fractional coordinates):
Te 0.669 0.000 0.669
Sb 0.228 0.233 0.995
Sb 0.763 0.767 0.995
Sb 0.173 0.500 0.673



x | Compound: Sb3Te
Source: Alexandria
Functional: GGA-PBE
Structure: optimized geometry

Cell lengths 8.457, 7.374, 7.994 Å; angles 90.00, 90.00, 90.00 degrees
Atoms (fractional coordinates):
Sb 0.379 0.416 0.750
Sb 0.370 0.742 0.990
Sb 0.630 0.258 0.010
Sb 0.121 0.916 0.750
Sb 0.630 0.258 0.490
Sb 0.870 0.758 0.010
Sb 0.879 0.084 0.250
Sb 0.870 0.758 0.490
Sb 0.130 0.242 0.990
Sb 0.621 0.584 0.250
Sb 0.130 0.242 0.510
Sb 0.370 0.742 0.510
Te 0.880 0.413 0.750
Te 0.120 0.587 0.250
Te 0.380 0.087 0.250
Te 0.620 0.913 0.750



List of relative energies, unit meV per atom: w 35; x 0



w | Compound: Sb3Te
Source: Alexandria
Functional: GGA-PBE
Structure: optimized geometry

Cell lengths 4.806, 4.806, 4.806 Å; angles 90.00, 90.00, 90.00 degrees
Atoms (fractional coordinates):
Sb 0.500 0.000 0.500
Sb 0.000 0.500 0.500
Sb 0.500 0.500 0.000
Te 0.000 0.000 0.000



x | Compound: Sb3Te
Source: Alexandria
Functional: GGA-PBE
Structure: optimized geometry

Cell lengths 7.885, 7.885, 7.885 Å; angles 32.13, 32.13, 32.13 degrees
Atoms (fractional coordinates):
Sb 0.500 0.500 0.500
Sb 0.753 0.753 0.753
Sb 0.247 0.247 0.247
Te 0.000 0.000 0.000



List of relative energies, unit meV per atom: w 338; x 0



w | Compound: Sb3Te
Source: Alexandria
Functional: GGA-PBE
Structure: optimized geometry

Cell lengths 6.370, 6.370, 6.214 Å; angles 90.00, 90.00, 90.82 degrees
Atoms (fractional coordinates):
Sb 0.515 0.003 0.750
Sb 0.003 0.515 0.250
Sb 0.023 0.977 0.250
Sb 0.485 0.997 0.250
Sb 0.977 0.023 0.750
Sb 0.997 0.485 0.750
Te 0.500 0.500 0.750
Te 0.500 0.500 0.250



x | Compound: Sb3Te
Source: Alexandria
Functional: GGA-PBE
Structure: optimized geometry

Cell lengths 6.365, 4.307, 4.553 Å; angles 90.00, 90.00, 90.00 degrees
Atoms (fractional coordinates):
Sb 0.000 0.000 0.861
Sb 0.500 0.500 0.332
Sb 0.000 0.500 0.307
Te 0.500 0.000 0.834



y | Compound: Sb3Te
Source: Alexandria
Functional: GGA-PBE
Structure: optimized geometry

Cell lengths 5.604, 3.293, 6.086 Å; angles 81.06, 90.00, 90.00 degrees
Atoms (fractional coordinates):
Sb 0.000 0.923 0.999
Sb 0.500 0.750 0.750
Sb 0.000 0.577 0.501
Te 0.500 0.250 0.250



List of relative energies, unit meV per atom: w 0; x 6; y 224



w | Compound: Sb3Te
Source: Alexandria
Functional: GGA-PBE
Structure: optimized geometry

Cell lengths 6.369, 6.369, 6.369 Å; angles 138.50, 138.50, 60.14 degrees
Atoms (fractional coordinates):
Sb 0.750 0.250 0.500
Sb 0.250 0.750 0.500
Sb 0.500 0.500 0.000
Te 0.000 0.000 0.000



x | Compound: Sb3Te
Source: Alexandria
Functional: GGA-PBE
Structure: optimized geometry

Cell lengths 6.246, 6.246, 6.246 Å; angles 116.88, 116.88, 116.88 degrees
Atoms (fractional coordinates):
Sb 0.500 0.500 0.000
Sb 0.500 0.000 0.500
Sb 0.000 0.000 0.000
Te 0.000 0.500 0.500



List of relative energies, unit meV per atom: w 84; x 0



w | Compound: SbTe2
Source: Alexandria
Functional: GGA-PBE
Structure: optimized geometry

Cell lengths 4.351, 5.404, 8.531 Å; angles 90.00, 90.00, 90.00 degrees
Atoms (fractional coordinates):
Te 0.000 0.155 0.647
Te 0.500 0.345 0.147
Te 0.500 0.655 0.853
Te 0.000 0.845 0.353
Sb 0.000 0.000 0.000
Sb 0.500 0.500 0.500



x | Compound: SbTe2
Source: Alexandria
Functional: GGA-PBE
Structure: optimized geometry

Cell lengths 4.887, 4.887, 4.194 Å; angles 90.00, 90.00, 90.00 degrees
Atoms (fractional coordinates):
Te 0.000 0.500 0.500
Te 0.500 0.000 0.500
Sb 0.000 0.000 0.000



y | Compound: SbTe2
Source: Alexandria
Functional: GGA-PBE
Structure: optimized geometry

Cell lengths 4.180, 4.180, 12.288 Å; angles 89.89, 89.89, 65.09 degrees
Atoms (fractional coordinates):
Te 0.148 0.148 0.852
Te 0.646 0.646 0.648
Te 0.354 0.354 0.352
Te 0.852 0.852 0.148
Sb 0.000 0.000 0.500
Sb 0.500 0.500 0.000



List of relative energies, unit meV per atom: w 79; x 214; y 0



w | Compound: SbTe5
Source: Alexandria
Functional: GGA-PBE
Structure: optimized geometry

Cell lengths 3.873, 3.873, 11.397 Å; angles 90.00, 90.00, 90.00 degrees
Atoms (fractional coordinates):
Sb 0.500 0.500 0.000
Te 0.000 0.000 0.500
Te 0.500 0.500 0.662
Te 0.500 0.500 0.338
Te 0.000 0.000 0.842
Te 0.000 0.000 0.158



x | Compound: SbTe5
Source: Alexandria
Functional: GGA-PBE
Structure: optimized geometry

Cell lengths 4.513, 5.900, 7.388 Å; angles 84.44, 90.00, 90.00 degrees
Atoms (fractional coordinates):
Te 0.000 0.000 0.000
Te 0.500 0.311 0.818
Te 0.500 0.689 0.182
Te 0.000 0.310 0.323
Te 0.000 0.690 0.677
Sb 0.500 0.000 0.500



y | Compound: SbTe5
Source: Alexandria
Functional: GGA-PBE
Structure: optimized geometry

Cell lengths 7.000, 7.000, 4.400 Å; angles 90.00, 90.00, 120.00 degrees
Atoms (fractional coordinates):
Te 0.675 0.000 0.000
Te 0.333 0.667 0.500
Te 0.325 0.325 0.000
Te 0.000 0.675 0.000
Te 0.667 0.333 0.500
Sb 0.000 0.000 0.500



z | Compound: SbTe5
Source: Alexandria
Functional: GGA-PBE
Structure: optimized geometry

Cell lengths 6.321, 6.321, 6.321 Å; angles 60.00, 60.00, 60.00 degrees
Atoms (fractional coordinates):
Te 0.625 0.625 0.124
Te 0.625 0.124 0.625
Te 0.250 0.250 0.250
Te 0.625 0.625 0.625
Te 0.124 0.625 0.625
Sb 0.000 0.000 0.000



List of relative energies, unit meV per atom: w 266; x 0; y 159; z 543



w | Compound: SbTe5
Source: Alexandria
Functional: GGA-PBE
Structure: optimized geometry

Cell lengths 6.192, 6.192, 5.768 Å; angles 90.00, 90.00, 120.00 degrees
Last column: magnetic moment on the atom in μB.
Atoms (fractional coordinates):
Sb 0.000 0.000 0.000  0.36
Te 0.000 0.500 0.500  0.03
Te 0.500 0.500 0.500  0.03
Te 0.500 0.000 0.500  0.03
Te 0.333 0.667 0.000  0.00
Te 0.667 0.333 0.000  0.00



x | Compound: SbTe5
Source: Alexandria
Functional: GGA-PBE
Structure: optimized geometry

Cell lengths 6.149, 6.149, 9.149 Å; angles 86.22, 86.22, 37.47 degrees
Atoms (fractional coordinates):
Te 0.558 0.558 0.205
Te 0.996 0.996 0.603
Te 0.660 0.660 0.706
Te 0.365 0.365 0.398
Te 0.284 0.284 0.957
Sb 0.971 0.971 0.963



y | Compound: SbTe5
Source: Alexandria
Functional: GGA-PBE
Structure: optimized geometry

Cell lengths 6.332, 6.332, 6.028 Å; angles 90.00, 90.00, 133.67 degrees
Atoms (fractional coordinates):
Te 0.840 0.160 0.000
Te 0.336 0.664 0.500
Te 0.664 0.336 0.500
Te 0.000 0.000 0.500
Te 0.160 0.840 0.000
Sb 0.500 0.500 0.000



List of relative energies, unit meV per atom: w 412; x 0; y 158



w | Compound: Sb5Te
Source: Alexandria
Functional: GGA-PBE
Structure: optimized geometry

Cell lengths 9.345, 9.345, 4.837 Å; angles 90.00, 90.00, 154.65 degrees
Atoms (fractional coordinates):
Sb 0.595 0.405 0.000
Sb 0.968 0.032 0.000
Sb 0.337 0.663 0.000
Sb 0.481 0.519 0.500
Sb 0.788 0.212 0.500
Te 0.165 0.835 0.500



x | Compound: Sb5Te
Source: Alexandria
Functional: GGA-PBE
Structure: optimized geometry

Cell lengths 6.268, 6.268, 5.335 Å; angles 90.00, 90.00, 128.12 degrees
Atoms (fractional coordinates):
Sb 0.000 0.000 0.500
Sb 0.661 0.339 0.500
Sb 0.339 0.661 0.500
Sb 0.178 0.822 0.000
Sb 0.822 0.178 0.000
Te 0.500 0.500 0.000



y | Compound: Sb5Te
Source: Alexandria
Functional: GGA-PBE
Structure: optimized geometry

Cell lengths 6.263, 6.263, 6.263 Å; angles 60.00, 60.00, 60.00 degrees
Atoms (fractional coordinates):
Sb 0.250 0.250 0.250
Sb 0.626 0.626 0.121
Sb 0.121 0.626 0.626
Sb 0.626 0.121 0.626
Sb 0.626 0.626 0.626
Te 0.000 0.000 0.000



List of relative energies, unit meV per atom: w 0; x 27; y 245



w | Compound: Th4Sb3Te
Source: Alexandria
Functional: GGA-PBE
Structure: optimized geometry

Cell lengths 6.363, 6.363, 7.792 Å; angles 114.10, 114.10, 90.00 degrees
Atoms (fractional coordinates):
Th 0.500 0.000 0.000
Th 0.000 0.500 0.000
Th 0.748 0.748 0.496
Th 0.252 0.252 0.504
Sb 0.750 0.250 0.500
Sb 0.500 0.500 0.000
Sb 0.250 0.750 0.500
Te 0.000 0.000 0.000



x | Compound: Th4Sb3Te
Source: Alexandria
Functional: GGA-PBE
Structure: optimized geometry

Cell lengths 4.508, 7.786, 7.786 Å; angles 70.36, 90.03, 90.03 degrees
Atoms (fractional coordinates):
Sb 0.000 0.500 0.500
Sb 0.000 0.000 0.000
Sb 0.500 0.000 0.500
Th 0.000 0.247 0.253
Th 0.000 0.753 0.747
Th 0.500 0.249 0.749
Th 0.500 0.751 0.251
Te 0.500 0.500 0.000



List of relative energies, unit meV per atom: w 9; x 0



w | Compound: Th5Sb4Te
Source: Alexandria
Functional: GGA-PBE
Structure: optimized geometry

Cell lengths 4.498, 4.498, 16.236 Å; angles 97.96, 97.96, 90.00 degrees
Atoms (fractional coordinates):
Sb 0.600 0.600 0.199
Sb 0.799 0.799 0.598
Sb 0.201 0.201 0.402
Sb 0.400 0.400 0.801
Th 0.101 0.101 0.202
Th 0.500 0.500 0.000
Th 0.301 0.301 0.602
Th 0.899 0.899 0.798
Th 0.699 0.699 0.398
Te 0.000 0.000 0.000



x | Compound: Th5Sb4Te
Source: Alexandria
Functional: GGA-PBE
Structure: optimized geometry

Cell lengths 6.366, 7.793, 7.793 Å; angles 80.40, 65.89, 65.89 degrees
Atoms (fractional coordinates):
Th 0.304 0.796 0.597
Th 0.502 0.000 0.000
Th 0.901 0.403 0.796
Th 0.101 0.597 0.204
Th 0.697 0.204 0.403
Te 0.002 0.000 0.000
Sb 0.602 0.599 0.198
Sb 0.800 0.802 0.599
Sb 0.202 0.198 0.401
Sb 0.399 0.401 0.802



List of relative energies, unit meV per atom: w 6; x 0